The following is a DFT calculation (PBE) of a relaxed structure of InHgTe.

abc: 7.9084 7.9084 7.9084
angles: 32.50 32.50 32.50
Fractional positions:
In 0.0000 0.0000 0.0000
Hg 0.1313 0.1313 0.1313
Te 0.2673 0.2673 0.2673

Summary:
E in eV per atom: -2.11
Total moment in μB per atom: 0.000
Relative energy among the computed polymorphs in kJ/mol of atoms: 10.9
Formation energy without anion corrections in meV per atom: -49